(1)
First-principles (PBE) data for a relaxed structure of DyMgSn3, as listed in the Alexandria database.

Cell lengths 6.290, 6.195, 13.093 Å; angles 90.00, 90.00, 90.00 degrees
Atoms (fractional coordinates):
1 Dy 0.750 0.503 0.688
2 Dy 0.250 0.497 0.312
3 Dy 0.750 0.003 0.312
4 Dy 0.250 0.997 0.688
5 Mg 0.500 0.250 0.113
6 Mg 0.000 0.750 0.887
7 Mg 0.500 0.750 0.887
8 Mg 0.000 0.250 0.113
9 Sn 0.000 0.250 0.500
10 Sn 0.500 0.750 0.500
11 Sn 0.000 0.750 0.500
12 Sn 0.500 0.250 0.500
13 Sn 0.250 0.199 0.917
14 Sn 0.750 0.801 0.083
15 Sn 0.250 0.699 0.083
16 Sn 0.750 0.301 0.917
17 Sn 0.250 0.494 0.729
18 Sn 0.750 0.506 0.271
19 Sn 0.250 0.994 0.271
20 Sn 0.750 0.006 0.729

Computed properties:
**M_tot**: 0.0 μB/f.u.
**Final energy**: -4.03 eV per atom
**DFT formation energy**: -0.39 eV/atom
**Volume**: 25.5 A^3/atom


(2)
First-principles (PBE) data for a relaxed structure of DyMg2Sn2, as listed in the Alexandria database.

Cell lengths 4.417, 4.454, 12.654 Å; angles 90.00, 100.05, 90.00 degrees
Atoms (fractional coordinates):
1 Dy 0.348 0.250 0.696
2 Dy 0.652 0.750 0.304
3 Mg 0.046 0.750 0.092
4 Mg 0.455 0.750 0.909
5 Mg 0.954 0.250 0.908
6 Mg 0.545 0.250 0.091
7 Sn 0.749 0.250 0.499
8 Sn 0.251 0.750 0.501
9 Sn 0.872 0.750 0.745
10 Sn 0.128 0.250 0.255

Computed properties:
**M_tot**: 0.0 μB/f.u.
**Final energy**: -3.54 eV per atom
**DFT formation energy**: -0.39 eV/atom
**Volume**: 24.5 A^3/atom


(3)
First-principles (PBE) data for a relaxed structure of Dy6Mg5Sn, as listed in the Alexandria database.

Cell lengths 5.348, 7.500, 8.475 Å; angles 90.00, 71.61, 90.00 degrees
Atoms (fractional coordinates):
1 Mg 0.667 0.500 0.667
2 Mg 0.328 0.000 0.345
3 Mg 0.000 0.500 0.000
4 Mg 0.672 0.000 0.655
5 Mg 0.333 0.500 0.333
6 Sn 0.000 0.000 0.000
7 Dy 0.834 0.748 0.332
8 Dy 0.834 0.252 0.332
9 Dy 0.500 0.248 0.000
10 Dy 0.500 0.752 0.000
11 Dy 0.166 0.748 0.668
12 Dy 0.166 0.252 0.668

Computed properties:
**M_tot**: 0.0 μB/f.u.
**Final energy**: -3.51 eV per atom
**DFT formation energy**: -0.21 eV/atom
**Volume**: 26.9 A^3/atom


(4)
First-principles (PBE) data for a relaxed structure of DyMgSn, as listed in the Alexandria database.

Cell lengths 4.453, 4.535, 8.557 Å; angles 105.37, 74.98, 90.00 degrees
Atoms (fractional coordinates):
1 Dy 0.317 0.434 0.868
2 Dy 0.640 0.612 0.225
3 Mg 0.984 0.267 0.533
4 Mg 0.813 0.938 0.876
5 Sn 0.176 0.077 0.153
6 Sn 0.447 0.803 0.607

Computed properties:
**M_tot**: 0.0 μB/f.u.
**Final energy**: -3.81 eV per atom
**DFT formation energy**: -0.41 eV/atom
**Volume**: 26.7 A^3/atom


(5)
First-principles (PBE) data for a relaxed structure of Dy3MgSn12, as listed in the Alexandria database.

Cell lengths 4.678, 4.678, 19.071 Å; angles 90.00, 90.00, 90.00 degrees
Atoms (fractional coordinates):
1 Dy 0.000 0.000 0.256
2 Dy 0.000 0.000 0.500
3 Dy 0.000 0.000 0.744
4 Mg 0.000 0.000 0.000
5 Sn 0.500 0.500 0.000
6 Sn 0.500 0.500 0.249
7 Sn 0.500 0.500 0.500
8 Sn 0.500 0.500 0.751
9 Sn 0.500 0.000 0.124
10 Sn 0.500 0.000 0.376
11 Sn 0.500 0.000 0.624
12 Sn 0.500 0.000 0.876
13 Sn 0.000 0.500 0.124
14 Sn 0.000 0.500 0.376
15 Sn 0.000 0.500 0.624
16 Sn 0.000 0.500 0.876

Computed properties:
**M_tot**: 0.0 μB/f.u.
**Final energy**: -4.29 eV per atom
**DFT formation energy**: -0.32 eV/atom
**Volume**: 26.1 A^3/atom


(6)
First-principles (PBE) data for a relaxed structure of DyMgSn, as listed in the Alexandria database.

Cell lengths 3.514, 3.514, 6.729 Å; angles 105.14, 105.14, 90.00 degrees
Atoms (fractional coordinates):
1 Mg 0.938 0.938 0.876
2 Sn 0.292 0.292 0.584
3 Dy 0.620 0.620 0.240

Computed properties:
**M_tot**: 0.0 μB/f.u.
**Final energy**: -3.69 eV per atom
**DFT formation energy**: -0.29 eV/atom
**Volume**: 25.7 A^3/atom


(7)
First-principles (PBE) data for a relaxed structure of Dy4MgSn, as listed in the Alexandria database.

Cell lengths 5.293, 6.579, 11.512 Å; angles 90.00, 103.29, 90.00 degrees
Atoms (fractional coordinates):
1 Dy 0.860 0.323 0.719
2 Dy 0.140 0.823 0.281
3 Dy 0.428 0.821 0.856
4 Dy 0.572 0.321 0.144
5 Dy 0.705 0.567 0.411
6 Dy 0.295 0.067 0.589
7 Dy 0.706 0.078 0.411
8 Dy 0.294 0.578 0.589
9 Mg 0.569 0.821 0.137
10 Mg 0.431 0.321 0.863
11 Sn 0.841 0.823 0.681
12 Sn 0.159 0.323 0.319

Computed properties:
**M_tot**: 0.0 μB/f.u.
**Final energy**: -4.02 eV per atom
**DFT formation energy**: -0.02 eV/atom
**Volume**: 32.5 A^3/atom


(8)
First-principles (PBE) data for a relaxed structure of DyMgSn4, as listed in the Alexandria database.

Cell lengths 5.785, 5.785, 9.334 Å; angles 90.00, 90.01, 90.00 degrees
Atoms (fractional coordinates):
1 Dy 0.000 0.000 0.000
2 Dy 0.500 0.500 0.000
3 Mg 0.500 0.000 0.500
4 Mg 0.000 0.500 0.500
5 Sn 0.000 0.500 0.172
6 Sn 0.500 0.000 0.828
7 Sn 0.500 0.500 0.338
8 Sn 0.000 0.000 0.662
9 Sn 0.000 0.500 0.828
10 Sn 0.500 0.000 0.172
11 Sn 0.500 0.500 0.662
12 Sn 0.000 0.000 0.338

Computed properties:
**M_tot**: 0.0 μB/f.u.
**Final energy**: -3.94 eV per atom
**DFT formation energy**: -0.23 eV/atom
**Volume**: 26.0 A^3/atom